Entry from the Alexandria database: La8Th2Cd after structural relaxation (GGA-PBE).

Computed properties:
Spin magnetization = 0.000 μB per atom
Final energy = -4.969 eV per atom
DOS(E_F) = 18.26 states/eV per cell
Space-group type = Immm (71)

Geometry as CIF:
```
data_La8Th2Cd
_chemical_formula_sum 'La8 Th2 Cd1'
_cell_length_a 5.867
_cell_length_b 7.560
_cell_length_c 9.979
_cell_angle_alpha 112.25
_cell_angle_beta 107.10
_cell_angle_gamma 90.00
_space_group_name_H-M_alt 'P 1'
_space_group_IT_number 1
_space_group_name_Hall 'P 1'
loop_
_atom_site_label
_atom_site_type_symbol
_atom_site_fract_x
_atom_site_fract_y
_atom_site_fract_z
La1 La 0.361 0.579 0.721
La2 La 0.000 0.733 0.000
La3 La 0.176 0.176 0.351
La4 La 0.360 0.143 0.721
La5 La 0.640 0.857 0.279
La6 La 0.824 0.824 0.649
La7 La 0.639 0.421 0.279
La8 La 0.000 0.267 0.000
Th1 Th 0.813 0.313 0.626
Th2 Th 0.187 0.687 0.374
Cd1 Cd 0.500 0.000 0.000
```